Crystalline InGa4Tc at its relaxed geometry, computed with GGA-PBE.

Summary:
ΔH_f (0 K)	-22	meV per atom
Fermi-level density of states	7.9	states/eV/cell
ΔE to the lowest computed polymorph	0	kJ/mol of formula units

a b c (Å): 11.227 7.847 6.048
angles (deg): 90.00 118.17 90.00
Space group C2/m (No. 12)
Asymmetric unit:
In 0.183 0.000 0.049 [4 per cell]
Ga 0.000 0.247 0.000 [4 per cell]
Ga 0.134 0.278 0.547 [8 per cell]
Ga 0.214 0.500 0.280 [4 per cell]
Tc 0.036 0.500 0.773 [4 per cell]